No. 1
This record from the Alexandria database describes a relaxed structure of Hg2TeF. The functional is PBE.

Cell and atoms, written as CIF:
```
data_Hg2TeF
_chemical_formula_sum 'Hg4 Te2 F2'
_symmetry_space_group_name_H-M 'P 1'
_symmetry_Int_Tables_number 1
_symmetry_space_group_name_Hall 'P 1'
_cell_length_a 8.2968
_cell_length_b 8.2968
_cell_length_c 8.2968
_cell_angle_alpha 140.34
_cell_angle_beta 140.34
_cell_angle_gamma 57.34
loop_
_atom_site_label
_atom_site_type_symbol
_atom_site_fract_x
_atom_site_fract_y
_atom_site_fract_z
Hg1 Hg 0.0692 0.6250 0.9442
Hg2 Hg 0.3750 0.3192 0.4442
Hg3 Hg 0.6808 0.1250 0.0558
Hg4 Hg 0.8750 0.9308 0.5558
Te1 Te 0.2500 0.7500 0.5000
Te2 Te 0.5000 0.5000 0.0000
F1 F 0.0000 0.0000 0.0000
F2 F 0.7500 0.2500 0.5000
```

Output
The distance to the lowest polymorph of the same formula is 0.66 eV/f.u. The size of the total moment is 0.000 μB per atom. Its space-group type is I-42d, No. 122.

***

No. 2
This record from the Alexandria database describes a relaxed structure of Hg3Te2F2. The functional is PBE.

Cell and atoms, written as CIF:
```
data_Hg3Te2F2
_chemical_formula_sum 'Hg3 Te2 F2'
_symmetry_space_group_name_H-M 'P 1'
_symmetry_Int_Tables_number 1
_symmetry_space_group_name_Hall 'P 1'
_cell_length_a 4.6552
_cell_length_b 4.7873
_cell_length_c 9.8868
_cell_angle_alpha 78.06
_cell_angle_beta 76.79
_cell_angle_gamma 66.16
loop_
_atom_site_label
_atom_site_type_symbol
_atom_site_fract_x
_atom_site_fract_y
_atom_site_fract_z
Hg1 Hg 0.0000 0.0000 0.0000
Hg2 Hg 0.1771 0.1016 0.5677
Hg3 Hg 0.8229 0.8984 0.4323
Te1 Te 0.1111 0.5068 0.2032
Te2 Te 0.8889 0.4932 0.7968
F1 F 0.3952 0.4883 0.7928
F2 F 0.6048 0.5117 0.2072
```

Output
The size of the total moment is 0.000 μB per atom. The calculation puts the total energy at -15.0 eV per cell. Its space-group type is P-1, No. 2.

***

No. 3
This record from the Alexandria database describes a relaxed structure of Hg2TeF. The functional is PBE.

Cell and atoms, written as CIF:
```
data_Hg2TeF
_chemical_formula_sum 'Hg4 Te2 F2'
_symmetry_space_group_name_H-M 'P 1'
_symmetry_Int_Tables_number 1
_symmetry_space_group_name_Hall 'P 1'
_cell_length_a 5.7490
_cell_length_b 6.3340
_cell_length_c 7.1666
_cell_angle_alpha 112.66
_cell_angle_beta 93.36
_cell_angle_gamma 96.38
loop_
_atom_site_label
_atom_site_type_symbol
_atom_site_fract_x
_atom_site_fract_y
_atom_site_fract_z
Hg1 Hg 0.0000 0.0000 0.0000
Hg2 Hg 0.0825 0.8770 0.4890
Hg3 Hg 0.3707 0.5177 0.5868
Hg4 Hg 0.6740 0.4428 0.3023
Te1 Te 0.2500 0.6561 0.9959
Te2 Te 0.8101 0.3276 0.9041
F1 F 0.0188 0.2455 0.3710
F2 F 0.5644 0.9113 0.0633
```

Output
The distance to the lowest polymorph of the same formula is 0.00 eV/f.u. The size of the total moment is 0.000 μB per atom. Its space-group type is P1, No. 1.

***

No. 4
This record from the Alexandria database describes a relaxed structure of Hg12Te3F5. The functional is PBE.

Cell and atoms, written as CIF:
```
data_Hg12Te3F5
_chemical_formula_sum 'Hg48 Te12 F20'
_symmetry_space_group_name_H-M 'P 1'
_symmetry_Int_Tables_number 1
_symmetry_space_group_name_Hall 'P 1'
_cell_length_a 14.1593
_cell_length_b 14.1593
_cell_length_c 14.1593
_cell_angle_alpha 109.47
_cell_angle_beta 109.47
_cell_angle_gamma 109.47
loop_
_atom_site_label
_atom_site_type_symbol
_atom_site_fract_x
_atom_site_fract_y
_atom_site_fract_z
Hg1 Hg 0.0369 0.2189 0.1098
Hg2 Hg 0.0369 0.3180 0.9270
Hg3 Hg 0.0730 0.6098 0.3910
Hg4 Hg 0.0730 0.9631 0.6820
Hg5 Hg 0.1090 0.7189 0.6820
Hg6 Hg 0.1090 0.8902 0.4270
Hg7 Hg 0.1098 0.0369 0.2189
Hg8 Hg 0.1098 0.5730 0.8910
Hg9 Hg 0.1820 0.2189 0.6090
Hg10 Hg 0.1820 0.4631 0.5730
Hg11 Hg 0.2189 0.1098 0.0369
Hg12 Hg 0.2189 0.6090 0.1820
Hg13 Hg 0.2811 0.3180 0.8910
Hg14 Hg 0.2811 0.4631 0.3902
Hg15 Hg 0.3180 0.8910 0.2811
Hg16 Hg 0.3180 0.9270 0.0369
Hg17 Hg 0.3902 0.2811 0.4631
Hg18 Hg 0.3902 0.6090 0.9270
Hg19 Hg 0.3910 0.0730 0.6098
Hg20 Hg 0.3910 0.8180 0.7811
Hg21 Hg 0.4270 0.1090 0.8902
Hg22 Hg 0.4270 0.8180 0.5369
Hg23 Hg 0.4631 0.3902 0.2811
Hg24 Hg 0.4631 0.5730 0.1820
Hg25 Hg 0.5369 0.4270 0.8180
Hg26 Hg 0.5369 0.6098 0.7189
Hg27 Hg 0.5730 0.1820 0.4631
Hg28 Hg 0.5730 0.8910 0.1098
Hg29 Hg 0.6090 0.1820 0.2189
Hg30 Hg 0.6090 0.9270 0.3902
Hg31 Hg 0.6098 0.3910 0.0730
Hg32 Hg 0.6098 0.7189 0.5369
Hg33 Hg 0.6820 0.0730 0.9631
Hg34 Hg 0.6820 0.1090 0.7189
Hg35 Hg 0.7189 0.5369 0.6098
Hg36 Hg 0.7189 0.6820 0.1090
Hg37 Hg 0.7811 0.3910 0.8180
Hg38 Hg 0.7811 0.8902 0.9631
Hg39 Hg 0.8180 0.5369 0.4270
Hg40 Hg 0.8180 0.7811 0.3910
Hg41 Hg 0.8902 0.4270 0.1090
Hg42 Hg 0.8902 0.9631 0.7811
Hg43 Hg 0.8910 0.1098 0.5730
Hg44 Hg 0.8910 0.2811 0.3180
Hg45 Hg 0.9270 0.0369 0.3180
Hg46 Hg 0.9270 0.3902 0.6090
Hg47 Hg 0.9631 0.6820 0.0730
Hg48 Hg 0.9631 0.7811 0.8902
Te1 Te 0.1250 0.2500 0.3750
Te2 Te 0.1250 0.3750 0.7500
Te3 Te 0.2500 0.3750 0.1250
Te4 Te 0.2500 0.8750 0.6250
Te5 Te 0.3750 0.1250 0.2500
Te6 Te 0.3750 0.7500 0.1250
Te7 Te 0.6250 0.2500 0.8750
Te8 Te 0.6250 0.8750 0.7500
Te9 Te 0.7500 0.1250 0.3750
Te10 Te 0.7500 0.6250 0.8750
Te11 Te 0.8750 0.6250 0.2500
Te12 Te 0.8750 0.7500 0.6250
F1 F 0.0000 0.0000 0.0000
F2 F 0.0000 0.0000 0.5000
F3 F 0.0000 0.5000 0.0000
F4 F 0.0000 0.5000 0.5000
F5 F 0.1250 0.7500 0.8750
F6 F 0.1250 0.8750 0.2500
F7 F 0.2500 0.1250 0.8750
F8 F 0.2500 0.6250 0.3750
F9 F 0.3750 0.2500 0.6250
F10 F 0.3750 0.6250 0.7500
F11 F 0.5000 0.0000 0.0000
F12 F 0.5000 0.0000 0.5000
F13 F 0.5000 0.5000 0.0000
F14 F 0.5000 0.5000 0.5000
F15 F 0.6250 0.3750 0.2500
F16 F 0.6250 0.7500 0.3750
F17 F 0.7500 0.3750 0.6250
F18 F 0.7500 0.8750 0.1250
F19 F 0.8750 0.1250 0.7500
F20 F 0.8750 0.2500 0.1250
```

Output
The size of the total moment is 0.000 μB per atom. The calculation puts the total energy at -123.0 eV per cell. Its space-group type is Ia-3d, No. 230.

***

No. 5
This record from the Alexandria database describes a relaxed structure of TiHg3Te2F6. The functional is PBE.

Cell and atoms, written as CIF:
```
data_TiHg3Te2F6
_chemical_formula_sum 'Ti1 Hg3 Te2 F6'
_symmetry_space_group_name_H-M 'P 1'
_symmetry_Int_Tables_number 1
_symmetry_space_group_name_Hall 'P 1'
_cell_length_a 7.8607
_cell_length_b 7.8607
_cell_length_c 5.4371
_cell_angle_alpha 103.20
_cell_angle_beta 103.20
_cell_angle_gamma 54.39
loop_
_atom_site_label
_atom_site_type_symbol
_atom_site_fract_x
_atom_site_fract_y
_atom_site_fract_z
Ti1 Ti 0.0000 0.0000 0.0000
Hg1 Hg 0.0000 0.5000 0.0000
Hg2 Hg 0.5000 0.0000 0.0000
Hg3 Hg 0.5000 0.5000 0.5000
Te1 Te 0.3006 0.3006 0.3837
Te2 Te 0.6994 0.6994 0.6163
F1 F 0.0967 0.0967 0.8094
F2 F 0.1161 0.7364 0.7901
F3 F 0.2636 0.8839 0.2099
F4 F 0.7364 0.1161 0.7901
F5 F 0.8839 0.2636 0.2099
F6 F 0.9033 0.9033 0.1906
```

Output
The size of the total moment is 0.000 μB per atom. The calculation puts the total energy at -49.6 eV per cell. Its space-group type is C2/m, No. 12.

***

> size of the total moment of number 1 (Hg2TeF)?

0.000 μB per atom